DFT (PBE-GGA) results for a geometry-optimized Sr2MoRh structure.

Summary:
The value obtained for the density of states at the Fermi level is 5.5 states/eV/f.u. Its energy above the most stable polymorph in this dataset is 180.7 meV per atom. The value obtained for the formation energy is 7.67 kcal/mol of atoms. The symmetry is No. 99.

abc: 3.4397 3.4397 9.4493
angles: 90.00 90.00 90.00
Fractional positions:
Sr 0.0000 0.0000 0.0000
Sr 0.5000 0.5000 0.3961
Mo 0.0000 0.0000 0.6544
Rh 0.5000 0.5000 0.7551

DFT (PBE-GGA) results for a geometry-optimized MgCu4P structure.

Summary:
The value obtained for the density of states at the Fermi level is 3.8 states/eV/f.u. The value obtained for the formation energy is 0.98 kcal/mol of atoms. The symmetry is No. 216.

abc: 4.9010 4.9010 4.9010
angles: 60.00 60.00 60.00
Fractional positions:
Mg 0.0000 0.0000 0.0000
Cu 0.3748 0.3748 0.3748
Cu 0.3748 0.3748 0.8757
Cu 0.3748 0.8757 0.3748
Cu 0.8757 0.3748 0.3748
P 0.7500 0.7500 0.7500

DFT (PBE-GGA) results for a geometry-optimized CaSc5Ag6 structure.

Summary:
The value obtained for the density of states at the Fermi level is 7.9 states/eV/f.u. The value obtained for the formation energy is -6.04 kcal/mol of atoms. The symmetry is No. 12.

abc: 8.4977 8.4977 4.9013
angles: 106.62 106.62 48.39
Fractional positions:
Ca 0.0000 0.0000 0.0000
Sc 0.1644 0.1644 0.6643
Sc 0.3316 0.3316 0.3315
Sc 0.5000 0.5000 0.0000
Sc 0.6684 0.6684 0.6685
Sc 0.8356 0.8356 0.3357
Ag 0.0884 0.5653 0.8271
Ag 0.2699 0.7301 0.5000
Ag 0.4347 0.9116 0.1729
Ag 0.5653 0.0884 0.8271
Ag 0.7301 0.2699 0.5000
Ag 0.9116 0.4347 0.1729

DFT (PBE-GGA) results for a geometry-optimized AcNdPPd structure.

Summary:
The value obtained for the density of states at the Fermi level is 4.1 states/eV/f.u. The value obtained for the formation energy is -18.41 kcal/mol of atoms. The symmetry is No. 216.

abc: 5.2356 5.2356 5.2356
angles: 60.00 60.00 60.00
Fractional positions:
Ac 0.0000 0.0000 0.0000
Nd 0.5000 0.5000 0.5000
P 0.7500 0.7500 0.7500
Pd 0.2500 0.2500 0.2500

DFT (PBE-GGA) results for a geometry-optimized Y3Ho4PuS8 structure.

Summary:
The value obtained for the density of states at the Fermi level is 12.0 states/eV/f.u. As for the formation energy from raw total energies: -1.972 eV/atom. The symmetry is No. 166.

abc: 7.8109 7.8109 7.8109
angles: 59.99 59.99 59.99
Fractional positions:
Y 0.0000 0.5000 0.5000
Y 0.5000 0.0000 0.5000
Y 0.5000 0.5000 0.0000
Ho 0.0000 0.0000 0.5000
Ho 0.0000 0.5000 0.0000
Ho 0.5000 0.0000 0.0000
Ho 0.5000 0.5000 0.5000
Pu 0.0000 0.0000 0.0000
S 0.2489 0.2489 0.2489
S 0.2498 0.7482 0.7482
S 0.2518 0.2518 0.7502
S 0.2518 0.7502 0.2518
S 0.7482 0.2498 0.7482
S 0.7482 0.7482 0.2498
S 0.7502 0.2518 0.2518
S 0.7511 0.7511 0.7511

DFT (PBE-GGA) results for a geometry-optimized RbLiI2 structure.

Summary:
The value obtained for the density of states at the Fermi level is 0.0 states/eV/f.u. As for the formation energy from raw total energies: -1.284 eV/atom. The symmetry is No. 166.

abc: 8.5919 8.5919 8.5919
angles: 31.41 31.41 31.41
Fractional positions:
Rb 0.0000 0.0000 0.0000
Li 0.5000 0.5000 0.5000
I 0.2331 0.2331 0.2331
I 0.7669 0.7669 0.7669

DFT (PBE-GGA) results for a geometry-optimized SrEu2Sb structure.

Summary:
The value obtained for the density of states at the Fermi level is 2.9 states/eV/f.u. Its energy above the most stable polymorph in this dataset is 15.0 meV per atom. As for the formation energy from raw total energies: -0.500 eV/atom. The symmetry is No. 123.

abc: 4.3468 4.3468 7.8545
angles: 90.00 90.00 90.00
Fractional positions:
Sr 0.0000 0.0000 0.0000
Eu 0.5000 0.5000 0.3015
Eu 0.5000 0.5000 0.6985
Sb 0.0000 0.0000 0.5000

DFT (PBE-GGA) results for a geometry-optimized RbBiN2F structure.

Summary:
The value obtained for the density of states at the Fermi level is 1.9 states/eV/f.u. Its energy above the most stable polymorph in this dataset is 319.3 meV per atom. As for the formation energy from raw total energies: 0.492 eV/atom. The symmetry is No. 123.

abc: 4.2668 4.2668 9.4442
angles: 90.00 90.00 90.00
Fractional positions:
Rb 0.0000 0.0000 0.0000
Bi 0.0000 0.0000 0.5000
N 0.0000 0.5000 0.5000
N 0.5000 0.0000 0.5000
F 0.5000 0.5000 0.0000

DFT (PBE-GGA) results for a geometry-optimized Tl3In3BiPb2 structure.

Summary:
The value obtained for the density of states at the Fermi level is 3.1 states/eV/f.u. The value obtained for the formation energy is 0.69 kcal/mol of atoms. The symmetry is No. 189.

abc: 9.5376 9.5376 3.5037
angles: 90.00 90.00 120.00
Fractional positions:
Tl 0.0000 0.3058 0.0000
Tl 0.3058 0.0000 0.0000
Tl 0.6942 0.6942 0.0000
In 0.0000 0.6377 0.5000
In 0.3623 0.3623 0.5000
In 0.6377 0.0000 0.5000
Bi 0.0000 0.0000 0.5000
Pb 0.3333 0.6667 0.0000
Pb 0.6667 0.3333 0.0000

DFT (PBE-GGA) results for a geometry-optimized CoAsIr3 structure.

Summary:
The value obtained for the density of states at the Fermi level is 5.4 states/eV/f.u. Its energy above the most stable polymorph in this dataset is 0.0 meV per atom. The value obtained for the formation energy is 31.13 kcal/mol of atoms. The symmetry is No. 221.

abc: 4.5338 4.5338 4.5338
angles: 90.00 90.00 90.00
Fractional positions:
Co 0.0000 0.0000 0.0000
As 0.5000 0.5000 0.5000
Ir 0.0000 0.5000 0.5000
Ir 0.5000 0.0000 0.5000
Ir 0.5000 0.5000 0.0000

DFT (PBE-GGA) results for a geometry-optimized Rb2RuW structure.

Summary:
The value obtained for the density of states at the Fermi level is 4.9 states/eV/f.u. Its energy above the most stable polymorph in this dataset is 1099.2 meV per atom. The value obtained for the formation energy is 61.91 kcal/mol of atoms. The symmetry is No. 225.

abc: 5.6738 5.6738 5.6738
angles: 60.00 60.00 60.00
Fractional positions:
Rb 0.2500 0.2500 0.2500
Rb 0.7500 0.7500 0.7500
Ru 0.0000 0.0000 0.0000
W 0.5000 0.5000 0.5000

DFT (PBE-GGA) results for a geometry-optimized Hf2SiHPb structure.

Summary:
The value obtained for the density of states at the Fermi level is 5.8 states/eV/f.u. The value obtained for the electronic total energy is -5.3269 eV/atom. The symmetry is No. 123.

abc: 4.9619 4.9619 5.2508
angles: 90.00 90.00 90.00
Fractional positions:
Hf 0.0000 0.5000 0.0000
Hf 0.5000 0.0000 0.0000
Si 0.0000 0.0000 0.0000
H 0.5000 0.5000 0.5000
Pb 0.0000 0.0000 0.5000

DFT (PBE-GGA) results for a geometry-optimized NbFeMo2 structure.

Summary:
The value obtained for the density of states at the Fermi level is 4.2 states/eV/f.u. Its energy above the most stable polymorph in this dataset is 411.9 meV per atom. The value obtained for the formation energy is 13.65 kcal/mol of atoms. The symmetry is No. 122.

abc: 5.6491 5.6491 5.6491
angles: 101.54 101.54 126.85
Fractional positions:
Nb 0.0000 0.0000 0.0000
Nb 0.7500 0.2500 0.5000
Fe 0.2500 0.7500 0.5000
Fe 0.5000 0.5000 0.0000
Mo 0.1608 0.6250 0.0358
Mo 0.3750 0.4108 0.5358
Mo 0.5892 0.1250 0.9642
Mo 0.8750 0.8392 0.4642